(1)
Pr3GeTe | the Alexandria database | PBE | relaxed; raw formation energy = -834 meV per atom; D(E_F) = 17.83 states/eV/cell; magnetic moment = 0.34 μB/f.u.; symmetry = No. 15
1.0
7.698 -6.271 0.000
7.698 6.271 0.000
-1.590 0.000 7.320
Pr Ge Te
12 4 4
direct
0.036 0.164 0.443
0.138 0.654 0.037
0.164 0.036 0.943
0.309 0.470 0.540
0.346 0.862 0.463
0.470 0.309 0.040
0.530 0.691 0.960
0.654 0.138 0.537
0.691 0.530 0.460
0.836 0.964 0.057
0.862 0.346 0.963
0.964 0.836 0.557
0.245 0.755 0.750
0.412 0.588 0.250
0.588 0.412 0.750
0.755 0.245 0.250
0.152 0.346 0.812
0.346 0.152 0.312
0.654 0.848 0.688
0.848 0.654 0.188

---

(2)
Pr8GeTe6 | the Alexandria database | PBE | relaxed; raw formation energy = -1016 meV per atom; D(E_F) = 10.56 states/eV/cell; magnetic moment = 0.00 μB/f.u.; symmetry = No. 147
1.0
11.269 0.000 0.000
-5.634 9.759 0.000
0.000 0.000 4.535
Pr Ge Te
8 1 6
direct
0.028 0.288 0.258
0.260 0.972 0.258
0.288 0.260 0.742
0.333 0.667 0.747
0.667 0.333 0.253
0.712 0.740 0.258
0.740 0.028 0.742
0.972 0.712 0.742
0.000 0.000 0.500
0.123 0.647 0.249
0.353 0.476 0.249
0.476 0.123 0.751
0.524 0.877 0.249
0.647 0.524 0.751
0.877 0.353 0.751

---

(3)
Pr6GeTe12 | the Alexandria database | PBE | relaxed; raw formation energy = -1067 meV per atom; D(E_F) = 15.75 states/eV/cell; magnetic moment = 0.00 μB/f.u.; symmetry = No. 148
1.0
6.795 3.923 4.321
-6.795 3.923 4.321
0.000 -7.847 4.321
Pr Ge Te
6 1 12
direct
0.144 0.633 0.816
0.184 0.856 0.367
0.367 0.184 0.856
0.633 0.816 0.144
0.816 0.144 0.633
0.856 0.367 0.184
0.500 0.500 0.500
0.070 0.315 0.929
0.071 0.930 0.685
0.171 0.513 0.458
0.315 0.929 0.070
0.458 0.171 0.513
0.487 0.542 0.829
0.513 0.458 0.171
0.542 0.829 0.487
0.685 0.071 0.930
0.829 0.487 0.542
0.929 0.070 0.315
0.930 0.685 0.071

---

(4)
Pr5GeTe4 | the Alexandria database | PBE | relaxed; raw formation energy = -1384 meV per atom; D(E_F) = 5.63 states/eV/cell; magnetic moment = 0.00 μB/f.u.; symmetry = No. 87
1.0
-5.045 5.045 3.175
5.045 -5.045 3.175
5.045 5.045 -3.175
Pr Ge Te
5 1 4
direct
0.000 0.000 0.000
0.221 0.404 0.625
0.404 0.779 0.183
0.596 0.221 0.817
0.779 0.596 0.375
0.500 0.500 0.000
0.094 0.696 0.790
0.304 0.094 0.398
0.696 0.906 0.602
0.906 0.304 0.210